Computed, not measured: an optimized crystal structure of Ho2Pd3Au at the GGA-PBE level of DFT.

```
data_Ho2Pd3Au
_chemical_formula_sum 'Ho8 Pd12 Au4'
_space_group_name_H-M_alt 'P 1'
_space_group_IT_number 1
_cell_length_a 9.892
_cell_length_b 9.892
_cell_length_c 8.827
_cell_angle_alpha 124.08
_cell_angle_beta 124.08
_cell_angle_gamma 90.00
loop_
_space_group_symop_operation_xyz
'x,y,z'
loop_
_atom_site_label
_atom_site_type_symbol
_atom_site_fract_x
_atom_site_fract_y
_atom_site_fract_z
Ho1 Ho 0.852 0.657 0.703
Ho2 Ho 0.398 0.704 0.797
Ho3 Ho 0.343 0.148 0.297
Ho4 Ho 0.296 0.602 0.203
Ho5 Ho 0.954 0.148 0.297
Ho6 Ho 0.907 0.602 0.203
Ho7 Ho 0.398 0.093 0.797
Ho8 Ho 0.852 0.046 0.703
Pd1 Pd 0.241 0.759 0.000
Pd2 Pd 0.125 0.875 0.250
Pd3 Pd 0.125 0.375 0.250
Pd4 Pd 0.759 0.759 0.000
Pd5 Pd 0.759 0.241 0.000
Pd6 Pd 0.009 0.509 0.500
Pd7 Pd 0.625 0.875 0.750
Pd8 Pd 0.125 0.875 0.750
Pd9 Pd 0.491 0.991 0.500
Pd10 Pd 0.491 0.509 0.500
Pd11 Pd 0.241 0.241 0.000
Pd12 Pd 0.009 0.991 0.500
Au1 Au 0.366 0.366 0.733
Au2 Au 0.634 0.634 0.267
Au3 Au 0.616 0.116 0.233
Au4 Au 0.884 0.384 0.767
```

Summary:
Distance to the lowest polymorph of the same formula   0 meV per atom
DOS(E_F)   3.3 states/eV/f.u.
Energy of formation   -661 meV per atom
Uncorrected energy   -127.9 eV/cell
Space group   I4_1/amd, No. 141